The following is a PBE calculation of CaZrSeO5 after structural relaxation, from the Alexandria database.

The calculation puts the uncorrected formation energy at -2218 meV per atom. Its total moment is 0.000 μB per formula unit. As for the calculated volume: 14.77 Å³ per atom. For the total energy, the calculation gives -7.0709 eV/atom.

The space group is C2/c (No. 15) and the conventional cell measures 7.640, 8.753 and 7.852 Å, with angles of 90.00, 115.85 and 90.00 degrees. The asymmetric unit holds Ca at (0.000, 0.058, 0.250), Zr at (0.250, 0.250, 0.000), Se at (0.000, 0.451, 0.250), O at (0.000, 0.212, 0.750), O at (0.052, 0.313, 0.119) and O at (0.220, 0.017, 0.064).